The following is a DFT calculation (PBE) of a relaxed structure of K2NpIr3O12.

It has space group R-3m (No. 166, hexagonal axes), with a = 7.2217 Å, b = 7.2217 Å, c = 18.6160 Å, α = 90.00°, β = 90.00° and γ = 120.00°. The asymmetric unit holds K at (0.0000, 0.0000, 0.1093), Np at (0.0000, 0.0000, 0.5000), Ir at (0.0000, 0.5000, 0.0000), O at (0.0657, 0.5329, 0.1046) and O at (0.0695, 0.5347, 0.3512).

The calculation puts the uncorrected formation energy at -1.378 eV per atom.

=====

The following is a DFT calculation (PBE) of a relaxed structure of Li2Tl2In5Sn2.

It has space group I4/mmm (No. 139), with a = 4.571 Å, b = 4.571 Å, c = 29.914 Å, α = 90.00°, β = 90.00° and γ = 90.00°. The asymmetric unit holds Li at (0.000, 0.000, 0.154), Tl at (0.000, 0.000, 0.257), In at (0.000, 0.000, 0.000), In at (0.000, 0.500, 0.072) and Sn at (0.000, 0.000, 0.358).

The formation energy is -10.6 kJ/mol of formula units.